[1]
{"formula": "CsSr3Bi", "functional": "PBE-GGA", "state": "optimized geometry", "ef_ev_per_atom": -0.24, "space_group": "Pm-3m", "cell": [[6.687, 0.000, 0.000], [0.000, 6.687, 0.000], [0.000, 0.000, 6.687]], "species": ["Cs", "Sr", "Sr", "Sr", "Bi"], "fractional_positions": [[0.000, 0.000, 0.000], [0.000, 0.500, 0.500], [0.500, 0.000, 0.500], [0.500, 0.500, 0.000], [0.500, 0.500, 0.500]]}

[2]
{"formula": "AcHfTl", "functional": "PBE-GGA", "state": "optimized geometry", "ef_ev_per_atom": 0.22, "space_group": "Amm2", "cell": [[16.646, 0.000, 0.000], [0.000, 1.765, 3.058], [0.000, -1.765, 3.058]], "species": ["Ac", "Ac", "Hf", "Hf", "Tl", "Tl"], "fractional_positions": [[0.186, 0.000, 0.000], [0.814, 0.000, 0.000], [0.352, 0.334, 0.334], [0.648, 0.334, 0.334], [0.000, 0.333, 0.333], [0.500, 0.001, 0.001]]}

[3]
{"formula": "Pm2BeSi3Pd4", "functional": "PBE-GGA", "state": "optimized geometry", "space_group": "P-4m2", "raw_formation_energy_ev_per_atom": -0.848, "cell": [[4.206, 0.000, 0.000], [0.000, 4.206, 0.000], [0.000, 0.000, 9.876]], "species": ["Pm", "Pm", "Be", "Si", "Si", "Si", "Pd", "Pd", "Pd", "Pd"], "fractional_positions": [[0.000, 0.500, 0.243], [0.500, 0.000, 0.757], [0.500, 0.500, 0.000], [0.000, 0.000, 0.000], [0.000, 0.500, 0.636], [0.500, 0.000, 0.364], [0.000, 0.000, 0.500], [0.000, 0.500, 0.881], [0.500, 0.000, 0.119], [0.500, 0.500, 0.500]]}

[4]
{"formula": "Lu12Tl3H5", "functional": "PBE-GGA", "state": "optimized geometry", "e_tot_ev_per_atom": -4.081, "space_group": "Ia-3d", "cell": [[-7.634, 7.634, 7.634], [7.634, -7.634, 7.634], [7.634, 7.634, -7.634]], "species": ["Lu", "Lu", "Lu", "Lu", "Lu", "Lu", "Lu", "Lu", "Lu", "Lu", "Lu", "Lu", "Lu", "Lu", "Lu", "Lu", "Lu", "Lu", "Lu", "Lu", "Lu", "Lu", "Lu", "Lu", "Lu", "Lu", "Lu", "Lu", "Lu", "Lu", "Lu", "Lu", "Lu", "Lu", "Lu", "Lu", "Lu", "Lu", "Lu", "Lu", "Lu", "Lu", "Lu", "Lu", "Lu", "Lu", "Lu", "Lu", "Tl", "Tl", "Tl", "Tl", "Tl", "Tl", "Tl", "Tl", "Tl", "Tl", "Tl", "Tl", "H", "H", "H", "H", "H", "H", "H", "H", "H", "H", "H", "H", "H", "H", "H", "H", "H", "H", "H", "H"], "fractional_positions": [[0.010, 0.203, 0.106], [0.010, 0.307, 0.903], [0.097, 0.606, 0.403], [0.097, 0.703, 0.693], [0.097, 0.894, 0.403], [0.097, 0.990, 0.693], [0.106, 0.010, 0.203], [0.106, 0.597, 0.903], [0.193, 0.203, 0.597], [0.193, 0.490, 0.597], [0.203, 0.106, 0.010], [0.203, 0.597, 0.193], [0.297, 0.307, 0.903], [0.297, 0.490, 0.394], [0.307, 0.903, 0.010], [0.307, 0.903, 0.297], [0.394, 0.297, 0.490], [0.394, 0.597, 0.903], [0.403, 0.097, 0.606], [0.403, 0.097, 0.894], [0.403, 0.807, 0.510], [0.403, 0.807, 0.797], [0.490, 0.394, 0.297], [0.490, 0.597, 0.193], [0.510, 0.403, 0.807], [0.510, 0.606, 0.703], [0.597, 0.193, 0.203], [0.597, 0.193, 0.490], [0.597, 0.903, 0.106], [0.597, 0.903, 0.394], [0.606, 0.403, 0.097], [0.606, 0.703, 0.510], [0.693, 0.097, 0.703], [0.693, 0.097, 0.990], [0.703, 0.510, 0.606], [0.703, 0.693, 0.097], [0.797, 0.403, 0.807], [0.797, 0.894, 0.990], [0.807, 0.510, 0.403], [0.807, 0.797, 0.403], [0.894, 0.403, 0.097], [0.894, 0.990, 0.797], [0.903, 0.010, 0.307], [0.903, 0.106, 0.597], [0.903, 0.297, 0.307], [0.903, 0.394, 0.597], [0.990, 0.693, 0.097], [0.990, 0.797, 0.894], [0.125, 0.250, 0.375], [0.125, 0.375, 0.750], [0.250, 0.375, 0.125], [0.250, 0.875, 0.625], [0.375, 0.125, 0.250], [0.375, 0.750, 0.125], [0.625, 0.250, 0.875], [0.625, 0.875, 0.750], [0.750, 0.125, 0.375], [0.750, 0.625, 0.875], [0.875, 0.625, 0.250], [0.875, 0.750, 0.625], [0.000, 0.000, 0.000], [0.000, 0.000, 0.500], [0.000, 0.500, 0.000], [0.000, 0.500, 0.500], [0.125, 0.750, 0.875], [0.125, 0.875, 0.250], [0.250, 0.125, 0.875], [0.250, 0.625, 0.375], [0.375, 0.250, 0.625], [0.375, 0.625, 0.750], [0.500, 0.000, 0.000], [0.500, 0.000, 0.500], [0.500, 0.500, 0.000], [0.500, 0.500, 0.500], [0.625, 0.375, 0.250], [0.625, 0.750, 0.375], [0.750, 0.375, 0.625], [0.750, 0.875, 0.125], [0.875, 0.125, 0.750], [0.875, 0.250, 0.125]]}

[5]
{"formula": "BaPuPd4", "functional": "PBE-GGA", "state": "optimized geometry", "ef_ev_per_atom": -0.45, "space_group": "F-43m", "cell": [[0.000, 3.962, 3.962], [3.962, 0.000, 3.962], [3.962, 3.962, 0.000]], "species": ["Ba", "Pu", "Pd", "Pd", "Pd", "Pd"], "fractional_positions": [[0.000, 0.000, 0.000], [0.250, 0.250, 0.250], [0.128, 0.624, 0.624], [0.624, 0.128, 0.624], [0.624, 0.624, 0.128], [0.624, 0.624, 0.624]]}

[6]
{"formula": "CuPd2", "functional": "PBE-GGA", "state": "optimized geometry", "ef_ev_per_atom": 0.29, "space_group": "Fd-3m", "cell": [[0.000, 3.648, 3.648], [3.648, 0.000, 3.648], [3.648, 3.648, 0.000]], "species": ["Cu", "Cu", "Pd", "Pd", "Pd", "Pd"], "fractional_positions": [[0.125, 0.125, 0.125], [0.875, 0.875, 0.875], [0.000, 0.500, 0.500], [0.500, 0.000, 0.500], [0.500, 0.500, 0.000], [0.500, 0.500, 0.500]]}

[7]
{"formula": "K2Rb4Tl2Hg", "functional": "PBE-GGA", "state": "optimized geometry", "ef_ev_per_atom": 0.04, "space_group": "P3m1", "cell": [[4.627, 0.000, 0.000], [-2.314, 4.007, 0.000], [0.000, 0.000, 30.189]], "species": ["K", "K", "Rb", "Rb", "Rb", "Rb", "Tl", "Tl", "Hg"], "fractional_positions": [[0.000, 0.000, 0.000], [0.333, 0.667, 0.407], [0.000, 0.000, 0.273], [0.000, 0.000, 0.542], [0.333, 0.667, 0.133], [0.333, 0.667, 0.866], [0.000, 0.000, 0.662], [0.000, 0.000, 0.778], [0.333, 0.667, 0.720]]}

[8]
{"formula": "MnAlSe2", "functional": "PBE-GGA", "state": "optimized geometry", "space_group": "R-3m", "raw_formation_energy_ev_per_atom": -0.422, "cell": [[1.884, 1.088, 6.382], [-1.884, 1.088, 6.382], [0.000, -2.176, 6.382]], "species": ["Mn", "Al", "Se", "Se"], "fractional_positions": [[0.000, 0.000, 0.000], [0.500, 0.500, 0.500], [0.249, 0.249, 0.249], [0.751, 0.751, 0.751]]}

Sequential M_tot output: 0.00; 0.00; 0.00; 0.00; 5.95; 0.00; 0.00; 4.41 μB/f.u.